Record 1
Below is a relaxed structure of Zn3Ag4, with properties calculated at the GGA-PBE level.

extended XYZ file:
```
7
Lattice="-1.362 -2.465 3.457 -1.819 -4.010 -0.701 5.371 -5.146 1.322" Properties=species:S:1:pos:R:3 pbc="T T T"
Zn 0.482 -2.875 1.015
Zn 1.708 -8.746 3.062
Zn 0.000 0.000 0.000
Ag -1.125 -4.780 1.900
Ag -0.700 -7.628 2.911
Ag 2.890 -3.993 1.166
Ag 3.315 -6.842 2.178
```

Calculated values
**ΔE to the lowest computed polymorph**: 63 meV per atom
**Symmetry**: No. 166


Record 2
Below is a relaxed structure of Zn7Ag2, with properties calculated at the GGA-PBE level.

extended XYZ file:
```
9
Lattice="4.914 0.000 0.000 -2.457 4.255 0.000 0.000 0.000 6.705" Properties=species:S:1:pos:R:3 pbc="T T T"
Zn 0.000 0.000 0.000
Zn 3.289 0.000 2.267
Zn -1.644 2.848 2.267
Zn 0.812 1.407 2.267
Zn -0.812 1.407 4.438
Zn 1.625 0.000 4.438
Zn 1.644 2.848 4.438
Ag 0.000 2.837 0.000
Ag 2.457 1.418 0.000
```

Calculated values
**Symmetry**: No. 162
**E**: -14.42 eV for the cell shown


What did the first record say?
Below is a relaxed structure of Zn3Ag4, with properties calculated at the GGA-PBE level.

extended XYZ file:
```
7
Lattice="-1.362 -2.465 3.457 -1.819 -4.010 -0.701 5.371 -5.146 1.322" Properties=species:S:1:pos:R:3 pbc="T T T"
Zn 0.482 -2.875 1.015
Zn 1.708 -8.746 3.062
Zn 0.000 0.000 0.000
Ag -1.125 -4.780 1.900
Ag -0.700 -7.628 2.911
Ag 2.890 -3.993 1.166
Ag 3.315 -6.842 2.178
```

Calculated values
**ΔE to the lowest computed polymorph**: 63 meV per atom
**Symmetry**: No. 166


Q: Which formula does entry 1 have?
A: Zn3Ag4